# 1
Density functional theory data (PBE-GGA) for a relaxed structure of PmSnBi2.

a b c (Å): 4.8922 4.8922 9.2594
angles (deg): 74.68 74.68 60.00
With the nearest neighbours (Å) after each atom.
Fractional positions:
Bi 0.1085 0.1085 0.6745  1 Sn 2.87
Bi 0.8915 0.8915 0.3255  1 Sn 2.87
Sn 0.0000 0.0000 0.0000  2 Bi 2.87
Pm 0.5000 0.5000 0.5000  6 Bi 3.22

Values from the calculation:
offset from the most stable computed form	589.4	meV per atom
SG	R-3m (166)



# 2
Density functional theory data (PBE-GGA) for a relaxed structure of Pm3Sn5Bi.

a b c (Å): 6.5205 9.5711 9.5711
angles (deg): 120.00 90.00 90.00
With the nearest neighbours (Å) after each atom.
Fractional positions:
Pm 0.7500 0.3662 0.0000  9 Sn 3.16-3.45
Pm 0.7500 0.6338 0.6338  9 Sn 3.16-3.45
Pm 0.7500 0.0000 0.3662  9 Sn 3.16-3.45
Pm 0.2500 0.6338 0.0000  9 Sn 3.16-3.45
Pm 0.2500 0.3662 0.3662  9 Sn 3.16-3.45
Pm 0.2500 0.0000 0.6338  9 Sn 3.16-3.45
Sn 0.0000 0.3333 0.6667  2 Sn 3.26, 6 Pm 3.45
Sn 0.5000 0.6667 0.3333  2 Sn 3.26, 6 Pm 3.45
Sn 0.0000 0.6667 0.3333  2 Sn 3.26, 6 Pm 3.45
Sn 0.5000 0.3333 0.6667  2 Sn 3.26, 6 Pm 3.45
Sn 0.7500 0.6964 0.0000  5 Pm 3.16-3.31, 2 Bi 3.33
Sn 0.7500 0.3036 0.3036  5 Pm 3.16-3.31, 2 Bi 3.33
Sn 0.7500 0.0000 0.6964  5 Pm 3.16-3.31, 2 Bi 3.33
Sn 0.2500 0.3036 0.0000  5 Pm 3.16-3.31, 2 Bi 3.33
Sn 0.2500 0.6964 0.6964  5 Pm 3.16-3.31, 2 Bi 3.33
Sn 0.2500 0.0000 0.3036  5 Pm 3.16-3.31, 2 Bi 3.33
Bi 0.0000 0.0000 0.0000  2 Bi 3.26, 6 Sn 3.33
Bi 0.5000 0.0000 0.0000  2 Bi 3.26, 6 Sn 3.33

Values from the calculation:
SG	P6_3/mcm (193)



# 3
Density functional theory data (PBE-GGA) for a relaxed structure of Pm2Sn6Bi.

a b c (Å): 4.3102 7.7376 8.7866
angles (deg): 116.12 90.00 90.00
With the nearest neighbours (Å) after each atom.
Fractional positions:
Pm 0.0000 0.4156 0.7115  8 Sn 3.23-3.44
Pm 0.0000 0.7041 0.2885  8 Sn 3.23-3.44
Sn 0.5000 0.4268 0.0000  2 Sn 2.86, 1 Bi 2.93
Sn 0.5000 0.4727 0.4438  4 Sn 3.18-3.41, 4 Pm 3.36-3.44
Sn 0.5000 0.0290 0.5562  4 Sn 3.18-3.41, 4 Pm 3.36-3.44
Sn 0.0000 0.1828 0.0000  4 Sn 2.86-2.89
Sn 0.0000 0.8273 0.6909  3 Sn 2.89-3.18, 1 Pm 3.23
Sn 0.0000 0.1364 0.3091  3 Sn 2.89-3.18, 1 Pm 3.23
Bi 0.5000 0.8053 0.0000  1 Sn 2.93

Values from the calculation:
SG	Amm2 (38)



# 4
Density functional theory data (PBE-GGA) for a relaxed structure of Pm8Sn5Bi.

a b c (Å): 8.2723 8.2723 8.2723
angles (deg): 109.44 109.54 109.44
With the nearest neighbours (Å) after each atom.
Fractional positions:
Pm 0.1239 0.7525 0.0188  5 Sn 3.16-3.45, 1 Bi 3.21
Pm 0.9812 0.1051 0.7336  5 Sn 3.16-3.45, 1 Bi 3.21
Pm 0.7602 0.2477 0.3710  5 Sn 3.15-3.46, 1 Bi 3.48
Pm 0.6290 0.3893 0.8767  5 Sn 3.15-3.46, 1 Bi 3.48
Pm 0.4874 0.6107 0.2398  5 Sn 3.15-3.46, 1 Bi 3.48
Pm 0.6286 0.8949 0.8761  5 Sn 3.16-3.45, 1 Bi 3.21
Pm 0.2663 0.2475 0.3714  5 Sn 3.16-3.45, 1 Bi 3.21
Pm 0.1233 0.7523 0.5126  5 Sn 3.15-3.46, 1 Bi 3.48
Sn 0.0027 0.3759 0.1267  8 Pm 3.15-3.46
Sn 0.8733 0.8760 0.2492  8 Pm 3.15-3.46
Sn 0.7508 0.6241 0.6268  8 Pm 3.15-3.46
Sn 0.5000 0.0000 0.5000  8 Pm 3.17-3.43
Sn 0.3732 0.1240 0.9973  8 Pm 3.15-3.46
Bi 0.2500 0.5000 0.7500  8 Pm 3.21-3.48

Values from the calculation:
SG	I-4 (82)



# 5
Density functional theory data (PBE-GGA) for a relaxed structure of Pm7Sn2Bi2.

a b c (Å): 7.5326 6.9594 7.5326
angles (deg): 90.00 99.53 90.00
With the nearest neighbours (Å) after each atom.
Fractional positions:
Pm 0.9998 0.2703 0.5003  2 Sn 3.09, 1 Pm 3.20, 2 Bi 3.33-3.34
Pm 0.5003 0.7297 0.9998  2 Sn 3.09, 1 Pm 3.20, 2 Bi 3.33-3.34
Pm 0.0002 0.7297 0.4997  2 Sn 3.09, 1 Pm 3.20, 2 Bi 3.33-3.34
Pm 0.4997 0.2703 0.0002  2 Sn 3.09, 1 Pm 3.20, 2 Bi 3.33-3.34
Pm 0.0000 0.0000 0.0000  2 Sn 3.15
Pm 0.5002 0.7422 0.4998  2 Sn 3.16, 1 Pm 3.37, 2 Bi 3.42
Pm 0.4998 0.2578 0.5002  2 Sn 3.16, 1 Pm 3.37, 2 Bi 3.42
Sn 0.7262 0.0000 0.2738  7 Pm 3.09-3.16
Sn 0.2738 0.0000 0.7262  7 Pm 3.09-3.16
Bi 0.8059 0.5000 0.8059  6 Pm 3.33-3.42
Bi 0.1941 0.5000 0.1941  6 Pm 3.33-3.42

Values from the calculation:
SG	Cmmm (65)



# 6
Density functional theory data (PBE-GGA) for a relaxed structure of Pm2Sn4Bi.

a b c (Å): 6.6897 6.6897 6.6794
angles (deg): 119.84 119.84 90.20
With the nearest neighbours (Å) after each atom.
Fractional positions:
Pm 0.2856 0.7855 0.5713  8 Sn 3.34-3.35, 2 Bi 3.34-3.35
Pm 0.7855 0.2856 0.5713  8 Sn 3.34-3.35, 2 Bi 3.34-3.35
Sn 0.7859 0.7859 0.0716  2 Bi 3.34, 4 Sn 3.34-3.35, 4 Pm 3.35
Sn 0.2858 0.2858 0.0714  4 Sn 3.34-3.35, 2 Bi 3.35, 4 Pm 3.35
Sn 0.7857 0.2858 0.0715  4 Pm 3.34-3.35, 4 Sn 3.34-3.35, 2 Bi 3.35
Sn 0.2858 0.7857 0.0715  4 Pm 3.34-3.35, 4 Sn 3.34-3.35, 2 Bi 3.35
Bi 0.7856 0.7856 0.5713  8 Sn 3.34-3.35, 4 Pm 3.34-3.35

Values from the calculation:
offset from the most stable computed form	9.0	meV per atom
SG	C2/m (12)



# 7
Density functional theory data (PBE-GGA) for a relaxed structure of Pm3SnBi6.

a b c (Å): 8.4317 8.7817 8.7817
angles (deg): 84.11 90.00 90.00
With the nearest neighbours (Å) after each atom.
Fractional positions:
Pm 0.4390 0.8799 0.7884  7 Bi 3.24-3.55
Pm 0.9390 0.7884 0.8799  7 Bi 3.24-3.55
Pm 0.3866 0.3540 0.6460  8 Bi 3.31-3.61, 2 Sn 3.35-3.39
Pm 0.8866 0.6460 0.3540  8 Bi 3.31-3.61, 2 Sn 3.35-3.39
Pm 0.9390 0.1201 0.2116  7 Bi 3.24-3.55
Pm 0.4390 0.2116 0.1201  7 Bi 3.24-3.55
Sn 0.9895 0.3676 0.6324  6 Bi 3.22-3.50, 2 Pm 3.35-3.39
Sn 0.4895 0.6324 0.3676  6 Bi 3.22-3.50, 2 Pm 3.35-3.39
Bi 0.1879 0.7186 0.5771  4 Pm 3.24-3.61, 3 Bi 3.25-3.60, 2 Sn 3.27-3.50
Bi 0.6879 0.5771 0.7186  4 Pm 3.24-3.61, 3 Bi 3.25-3.60, 2 Sn 3.27-3.50
Bi 0.2367 0.5459 0.9190  3 Bi 3.25-3.50, 3 Pm 3.29-3.48
Bi 0.7367 0.9190 0.5459  3 Bi 3.25-3.50, 3 Pm 3.29-3.48
Bi 0.1596 0.1055 0.8945  5 Pm 3.27-3.49, 1 Bi 3.31, 1 Sn 3.40
Bi 0.7227 0.1722 0.8278  1 Sn 3.22, 5 Bi 3.31-3.60, 3 Pm 3.55
Bi 0.2227 0.8278 0.1722  1 Sn 3.22, 5 Bi 3.31-3.60, 3 Pm 3.55
Bi 0.6596 0.8945 0.1055  5 Pm 3.27-3.49, 1 Bi 3.31, 1 Sn 3.40
Bi 0.2367 0.0810 0.4541  3 Bi 3.25-3.50, 3 Pm 3.29-3.48
Bi 0.7367 0.4541 0.0810  3 Bi 3.25-3.50, 3 Pm 3.29-3.48
Bi 0.1879 0.4229 0.2814  4 Pm 3.24-3.61, 3 Bi 3.25-3.60, 2 Sn 3.27-3.50
Bi 0.6879 0.2814 0.4229  4 Pm 3.24-3.61, 3 Bi 3.25-3.60, 2 Sn 3.27-3.50

Values from the calculation:
SG	Cmc2_1 (36)



# 8
Density functional theory data (PBE-GGA) for a relaxed structure of Pm2Sn4Bi.

a b c (Å): 4.4901 4.4901 10.3872
angles (deg): 90.00 90.00 90.00
With the nearest neighbours (Å) after each atom.
Fractional positions:
Pm 0.5000 0.0000 0.7430  8 Sn 3.20-3.38, 2 Bi 3.49
Pm 0.0000 0.5000 0.2570  8 Sn 3.20-3.38, 2 Bi 3.49
Sn 0.5000 0.0000 0.2179  2 Bi 3.19, 4 Pm 3.20
Sn 0.0000 0.5000 0.7821  2 Bi 3.19, 4 Pm 3.20
Sn 0.5000 0.5000 0.5000  4 Sn 3.17, 4 Pm 3.38
Sn 0.0000 0.0000 0.5000  4 Sn 3.17, 4 Pm 3.38
Bi 0.5000 0.5000 0.0000  4 Sn 3.19, 4 Pm 3.49

Values from the calculation:
offset from the most stable computed form	0.0	meV per atom
SG	P-4m2 (115)



# 9
Density functional theory data (PBE-GGA) for a relaxed structure of PmSnBi2.

a b c (Å): 6.9790 6.8129 6.8129
angles (deg): 71.47 59.19 59.19
With the nearest neighbours (Å) after each atom.
Fractional positions:
Pm 0.2500 0.1986 0.3014  3 Sn 3.36-3.50, 8 Bi 3.40-3.49
Pm 0.7500 0.8014 0.6986  3 Sn 3.36-3.50, 8 Bi 3.40-3.49
Sn 0.7500 0.2234 0.2766  3 Pm 3.36-3.50, 8 Bi 3.36-3.49
Sn 0.2500 0.7766 0.7234  3 Pm 3.36-3.50, 8 Bi 3.36-3.49
Bi 0.2149 0.2851 0.7851  4 Sn 3.36-3.49, 4 Pm 3.40-3.49, 3 Bi 3.49-3.69
Bi 0.2851 0.7149 0.2149  4 Sn 3.36-3.49, 4 Pm 3.40-3.49, 3 Bi 3.49-3.69
Bi 0.7851 0.7149 0.2149  4 Sn 3.36-3.49, 4 Pm 3.40-3.49, 3 Bi 3.49-3.69
Bi 0.7149 0.2851 0.7851  4 Sn 3.36-3.49, 4 Pm 3.40-3.49, 3 Bi 3.49-3.69

Values from the calculation:
offset from the most stable computed form	0.0	meV per atom
SG	Imma (74)



# 10
Density functional theory data (PBE-GGA) for a relaxed structure of Pm5SnBi5.

a b c (Å): 6.3857 7.8460 9.0529
angles (deg): 107.06 90.00 114.01
With the nearest neighbours (Å) after each atom.
Fractional positions:
Pm 0.8293 0.6587 0.1626  5 Bi 3.20-3.32, 1 Sn 3.24
Pm 0.8322 0.6644 0.6678  5 Bi 3.18-3.23, 1 Sn 3.19
Pm 0.5000 0.0000 0.0000  2 Sn 3.19, 4 Bi 3.20
Pm 0.1678 0.3356 0.3322  5 Bi 3.18-3.23, 1 Sn 3.19
Pm 0.1707 0.3413 0.8374  5 Bi 3.20-3.32, 1 Sn 3.24
Sn 0.0000 0.0000 0.0000  6 Pm 3.19-3.24
Bi 0.6621 0.3242 0.3396  5 Pm 3.18-3.28
Bi 0.6562 0.3124 0.8148  5 Pm 3.20-3.32
Bi 0.0000 0.0000 0.5000  4 Pm 3.23-3.24
Bi 0.3438 0.6876 0.1852  5 Pm 3.20-3.32
Bi 0.3379 0.6758 0.6604  5 Pm 3.18-3.28

Values from the calculation:
SG	C2/m (12)



For each record above, in turn, the calculated energy relative to the elements values are 143; -433; -291; -768; -363; -409; -429; -418; -446; -599 meV per atom.